# Cu2SiPt

A crystal of Cu2SiPt relaxed with PBEsol (meta-GGA SCAN, Alexandria via LeMat-Bulk).

Computed properties:
Spin magnetization = 0.00 μB/cell
Energy = -27.990 eV per atom
Symmetry = I4/mmm (139)

abc: 3.5480 3.5480 4.7022
angles: 112.16 112.16 90.00
Last column: nearest neighbours and their distance in Å.
Fractional positions:
Si 0.0000 0.0000 0.0000  4 Pt 2.51, 8 Cu 2.66
Cu 0.7500 0.2500 0.5000  4 Cu 2.51, 4 Pt 2.66, 4 Si 2.66
Cu 0.2500 0.7500 0.5000  4 Cu 2.51, 4 Pt 2.66, 4 Si 2.66
Pt 0.5000 0.5000 0.0000  4 Si 2.51, 8 Cu 2.66